Record 1
VASP calculation (PBE) on a relaxed structure of YPClO4.

Computed properties:
Crystal system: monoclinic
Raw formation energy (eV per atom): -2.46
Total DFT energy (no corrections) (eV/atom): -7.26
Mass density (Mg/m³): 3.23

POSCAR file:
```
YPClO4
1.0
-5.796 0.255 2.392
-3.950 -4.670 -1.404
0.904 -3.768 5.328
O P Y Cl
8 2 2 2
direct
0.506 0.879 0.845 O
0.499 0.499 0.247 O
0.121 0.494 0.155 O
0.879 0.506 0.845 O
0.710 0.710 0.498 O
0.494 0.121 0.155 O
0.501 0.501 0.753 O
0.290 0.290 0.502 O
0.647 0.647 0.725 P
0.353 0.353 0.275 P
0.295 0.295 0.834 Y
0.705 0.705 0.166 Y
0.030 0.030 0.134 Cl
0.970 0.970 0.866 Cl
```


Record 2
VASP calculation (PBE) on a relaxed structure of YP2ClO.

Computed properties:
Crystal system: tetragonal
Raw formation energy (eV per atom): 0.07
Total DFT energy (no corrections) (eV/atom): -4.75
Mass density (Mg/m³): 2.58

POSCAR file:
```
YP2ClO
1.0
-1.561 -4.985 1.888
0.965 -2.199 -5.008
3.985 -0.821 1.128
Y O P Cl
1 1 2 1
direct
0.000 0.000 0.000 Y
0.000 0.000 0.500 O
0.000 0.500 0.000 P
0.500 0.000 0.000 P
0.500 0.500 0.500 Cl
```


Which of these has the highest total DFT energy (no corrections)?
YP2ClO


Number 2 is which compound?
YP2ClO


Which of these has the lowest total DFT energy (no corrections)?
YPClO4


Number 2 is which compound?
YP2ClO